# La3NdN4 (PBE-GGA, relaxed)
# Magnetization = 0.00 μB per formula unit
# Raw formation energy = -1.325 eV/atom
# Crystal system = monoclinic
# Volume = 18.35 Å³/atom
# Space-group type = P2/c
# E = -126.907 eV per cell
# E above lowest polymorph = 0 meV/atom
data_La3NdN4
_space_group_name_H-M_alt 'P 1'
_space_group_IT_number 1
_space_group_name_Hall 'P 1'
_cell_length_a 6.457
_cell_length_b 7.467
_cell_length_c 6.453
_cell_angle_alpha 90.00
_cell_angle_beta 109.32
_cell_angle_gamma 90.00
loop_
_atom_site_label
_atom_site_fract_x
_atom_site_fract_y
_atom_site_fract_z
_atom_site_occupancy
La1 0.000 0.122 0.250 1
La2 0.000 0.376 0.750 1
La3 0.000 0.624 0.250 1
La4 0.000 0.878 0.750 1
La5 0.500 0.377 0.250 1
La6 0.500 0.623 0.750 1
Nd1 0.500 0.120 0.750 1
Nd2 0.500 0.880 0.250 1
N1 0.250 0.385 0.502 1
N2 0.250 0.615 0.002 1
N3 0.254 0.111 0.999 1
N4 0.254 0.889 0.499 1
N5 0.746 0.111 0.501 1
N6 0.746 0.889 0.001 1
N7 0.750 0.385 0.998 1
N8 0.750 0.615 0.498 1


# La5Nd2N5 (PBE-GGA, relaxed)
# Magnetization = 2.08 μB per formula unit
# Raw formation energy = -0.975 eV/atom
# Crystal system = monoclinic
# Volume = 24.03 Å³/atom
# Space-group type = C2/m
# E = -87.500 eV per cell
data_La5Nd2N5
_space_group_name_H-M_alt 'P 1'
_space_group_IT_number 1
_space_group_name_Hall 'P 1'
_cell_length_a 6.508
_cell_length_b 6.508
_cell_length_c 13.052
_cell_angle_alpha 98.07
_cell_angle_beta 98.07
_cell_angle_gamma 31.83
loop_
_atom_site_label
_atom_site_fract_x
_atom_site_fract_y
_atom_site_fract_z
_atom_site_occupancy
La1 0.000 0.000 0.000 1
La2 0.148 0.148 0.564 1
La3 0.224 0.224 0.878 1
La4 0.776 0.776 0.122 1
La5 0.852 0.852 0.436 1
Nd1 0.426 0.426 0.672 1
Nd2 0.574 0.574 0.328 1
N1 0.192 0.192 0.390 1
N2 0.357 0.357 0.031 1
N3 0.500 0.500 0.500 1
N4 0.643 0.643 0.969 1
N5 0.808 0.808 0.610 1


# LaNd5N5 (PBE-GGA, relaxed)
# Magnetization = 0.30 μB per formula unit
# Raw formation energy = -1.219 eV/atom
# Crystal system = monoclinic
# Volume = 19.18 Å³/atom
# Space-group type = C2/m
# E = -83.807 eV per cell
data_LaNd5N5
_space_group_name_H-M_alt 'P 1'
_space_group_IT_number 1
_space_group_name_Hall 'P 1'
_cell_length_a 6.359
_cell_length_b 6.359
_cell_length_c 7.351
_cell_angle_alpha 106.69
_cell_angle_beta 106.69
_cell_angle_gamma 48.38
loop_
_atom_site_label
_atom_site_fract_x
_atom_site_fract_y
_atom_site_fract_z
_atom_site_occupancy
La1 0.000 0.000 0.000 1
Nd1 0.000 0.000 0.500 1
Nd2 0.325 0.325 0.670 1
Nd3 0.329 0.329 0.154 1
Nd4 0.671 0.671 0.846 1
Nd5 0.675 0.675 0.330 1
N1 0.167 0.167 0.340 1
N2 0.173 0.173 0.833 1
N3 0.500 0.500 0.000 1
N4 0.827 0.827 0.167 1
N5 0.833 0.833 0.660 1


# La5NdN4 (PBE-GGA, relaxed)
# Magnetization = 0.00 μB per formula unit
# Raw formation energy = -1.075 eV/atom
# Crystal system = monoclinic
# Volume = 22.30 Å³/atom
# Space-group type = C2/m
# E = -73.460 eV per cell
data_La5NdN4
_space_group_name_H-M_alt 'P 1'
_space_group_IT_number 1
_space_group_name_Hall 'P 1'
_cell_length_a 8.317
_cell_length_b 8.317
_cell_length_c 7.641
_cell_angle_alpha 102.12
_cell_angle_beta 102.12
_cell_angle_gamma 25.60
loop_
_atom_site_label
_atom_site_fract_x
_atom_site_fract_y
_atom_site_fract_z
_atom_site_occupancy
La1 0.000 0.000 0.000 1
La2 0.337 0.337 0.651 1
La3 0.344 0.344 0.201 1
La4 0.656 0.656 0.799 1
La5 0.663 0.663 0.349 1
Nd1 0.000 0.000 0.500 1
N1 0.165 0.165 0.579 1
N2 0.498 0.498 0.249 1
N3 0.502 0.502 0.751 1
N4 0.835 0.835 0.421 1


# La3NdN (PBE-GGA, relaxed)
# Magnetization = 0.00 μB per formula unit
# Raw formation energy = -0.488 eV/atom
# Crystal system = cubic
# Volume = 28.61 Å³/atom
# Space-group type = Pm-3m
# E = -30.316 eV per cell
data_La3NdN
_space_group_name_H-M_alt 'P 1'
_space_group_IT_number 1
_space_group_name_Hall 'P 1'
_cell_length_a 5.230
_cell_length_b 5.230
_cell_length_c 5.230
_cell_angle_alpha 90.00
_cell_angle_beta 90.00
_cell_angle_gamma 90.00
loop_
_atom_site_label
_atom_site_fract_x
_atom_site_fract_y
_atom_site_fract_z
_atom_site_occupancy
La1 0.000 0.000 0.500 1
La2 0.000 0.500 0.000 1
La3 0.500 0.000 0.000 1
Nd1 0.500 0.500 0.500 1
N1 0.000 0.000 0.000 1


# La5NdN6 (PBE-GGA, relaxed)
# Magnetization = 0.00 μB per formula unit
# Raw formation energy = -1.323 eV/atom
# Crystal system = monoclinic
# Volume = 18.44 Å³/atom
# Space-group type = C2/m
# E = -95.228 eV per cell
data_La5NdN6
_space_group_name_H-M_alt 'P 1'
_space_group_IT_number 1
_space_group_name_Hall 'P 1'
_cell_length_a 6.472
_cell_length_b 6.472
_cell_length_c 6.470
_cell_angle_alpha 99.58
_cell_angle_beta 99.58
_cell_angle_gamma 120.00
loop_
_atom_site_label
_atom_site_fract_x
_atom_site_fract_y
_atom_site_fract_z
_atom_site_occupancy
La1 0.000 0.000 0.000 1
La2 0.167 0.833 0.500 1
La3 0.334 0.666 0.000 1
La4 0.666 0.334 0.000 1
La5 0.833 0.167 0.500 1
Nd1 0.500 0.500 0.500 1
N1 0.088 0.417 0.252 1
N2 0.254 0.254 0.749 1
N3 0.417 0.088 0.252 1
N4 0.583 0.912 0.748 1
N5 0.746 0.746 0.251 1
N6 0.912 0.583 0.748 1


# LaNd2N2 (PBE-GGA, relaxed)
# Magnetization = 0.00 μB per formula unit
# Raw formation energy = -1.077 eV/atom
# Crystal system = trigonal
# Volume = 22.20 Å³/atom
# Space-group type = R-3m
# E = -36.501 eV per cell
# E above lowest polymorph = 0 meV/atom
data_LaNd2N2
_space_group_name_H-M_alt 'P 1'
_space_group_IT_number 1
_space_group_name_Hall 'P 1'
_cell_length_a 9.742
_cell_length_b 9.742
_cell_length_c 9.742
_cell_angle_alpha 21.72
_cell_angle_beta 21.72
_cell_angle_gamma 21.72
loop_
_atom_site_label
_atom_site_fract_x
_atom_site_fract_y
_atom_site_fract_z
_atom_site_occupancy
La1 0.000 0.000 0.000 1
Nd1 0.232 0.232 0.232 1
Nd2 0.768 0.768 0.768 1
N1 0.392 0.392 0.392 1
N2 0.608 0.608 0.608 1


# La4Nd2N5 (PBE-GGA, relaxed)
# Magnetization = 0.00 μB per formula unit
# Raw formation energy = -1.184 eV/atom
# Crystal system = trigonal
# Volume = 21.59 Å³/atom
# Space-group type = R-3m
# E = -83.892 eV per cell
data_La4Nd2N5
_space_group_name_H-M_alt 'P 1'
_space_group_IT_number 1
_space_group_name_Hall 'P 1'
_cell_length_a 19.417
_cell_length_b 19.417
_cell_length_c 19.417
_cell_angle_alpha 11.14
_cell_angle_beta 11.14
_cell_angle_gamma 11.14
loop_
_atom_site_label
_atom_site_fract_x
_atom_site_fract_y
_atom_site_fract_z
_atom_site_occupancy
La1 0.074 0.074 0.074 1
La2 0.201 0.201 0.201 1
La3 0.799 0.799 0.799 1
La4 0.926 0.926 0.926 1
Nd1 0.357 0.357 0.357 1
Nd2 0.643 0.643 0.643 1
N1 0.000 0.000 0.000 1
N2 0.116 0.116 0.116 1
N3 0.280 0.280 0.280 1
N4 0.720 0.720 0.720 1
N5 0.884 0.884 0.884 1


# LaNd2N3 (PBE-GGA, relaxed)
# Magnetization = 0.00 μB per formula unit
# Raw formation energy = -1.342 eV/atom
# Crystal system = orthorhombic
# Volume = 17.71 Å³/atom
# Space-group type = Immm
# E = -47.490 eV per cell
data_LaNd2N3
_space_group_name_H-M_alt 'P 1'
_space_group_IT_number 1
_space_group_name_Hall 'P 1'
_cell_length_a 6.389
_cell_length_b 6.389
_cell_length_c 6.389
_cell_angle_alpha 146.47
_cell_angle_beta 131.90
_cell_angle_gamma 59.90
loop_
_atom_site_label
_atom_site_fract_x
_atom_site_fract_y
_atom_site_fract_z
_atom_site_occupancy
La1 0.000 0.000 0.000 1
Nd1 0.333 0.333 0.000 1
Nd2 0.667 0.667 0.000 1
N1 0.170 0.670 0.500 1
N2 0.500 0.000 0.500 1
N3 0.830 0.330 0.500 1


# LaNd3N (PBE-GGA, relaxed)
# Magnetization = 0.01 μB per formula unit
# Raw formation energy = -0.410 eV/atom
# Crystal system = cubic
# Volume = 27.78 Å³/atom
# Space-group type = Pm-3m
# E = -29.604 eV per cell
data_LaNd3N
_space_group_name_H-M_alt 'P 1'
_space_group_IT_number 1
_space_group_name_Hall 'P 1'
_cell_length_a 5.179
_cell_length_b 5.179
_cell_length_c 5.179
_cell_angle_alpha 90.00
_cell_angle_beta 90.00
_cell_angle_gamma 90.00
loop_
_atom_site_label
_atom_site_fract_x
_atom_site_fract_y
_atom_site_fract_z
_atom_site_occupancy
La1 0.000 0.000 0.000 1
Nd1 0.000 0.500 0.500 1
Nd2 0.500 0.000 0.500 1
Nd3 0.500 0.500 0.000 1
N1 0.500 0.500 0.500 1


# LaNd5N6 (PBE-GGA, relaxed)
# Magnetization = 0.00 μB per formula unit
# Raw formation energy = -1.351 eV/atom
# Crystal system = monoclinic
# Volume = 17.47 Å³/atom
# Space-group type = C2/m
# E = -94.928 eV per cell
data_LaNd5N6
_space_group_name_H-M_alt 'P 1'
_space_group_IT_number 1
_space_group_name_Hall 'P 1'
_cell_length_a 6.356
_cell_length_b 6.356
_cell_length_c 6.355
_cell_angle_alpha 99.59
_cell_angle_beta 99.59
_cell_angle_gamma 120.00
loop_
_atom_site_label
_atom_site_fract_x
_atom_site_fract_y
_atom_site_fract_z
_atom_site_occupancy
La1 0.000 0.000 0.000 1
Nd1 0.167 0.833 0.500 1
Nd2 0.334 0.666 0.000 1
Nd3 0.500 0.500 0.500 1
Nd4 0.666 0.334 0.000 1
Nd5 0.833 0.167 0.500 1
N1 0.084 0.420 0.252 1
N2 0.253 0.253 0.749 1
N3 0.420 0.084 0.252 1
N4 0.580 0.916 0.748 1
N5 0.747 0.747 0.251 1
N6 0.916 0.580 0.748 1


# La2NdN3 (PBE-GGA, relaxed)
# Magnetization = 0.00 μB per formula unit
# Raw formation energy = -1.327 eV/atom
# Crystal system = tetragonal
# Volume = 18.20 Å³/atom
# Space-group type = I4/mmm
# E = -47.560 eV per cell
data_La2NdN3
_space_group_name_H-M_alt 'P 1'
_space_group_IT_number 1
_space_group_name_Hall 'P 1'
_cell_length_a 8.345
_cell_length_b 8.345
_cell_length_c 8.345
_cell_angle_alpha 154.29
_cell_angle_beta 154.29
_cell_angle_gamma 36.68
loop_
_atom_site_label
_atom_site_fract_x
_atom_site_fract_y
_atom_site_fract_z
_atom_site_occupancy
La1 0.164 0.164 0.000 1
La2 0.836 0.836 0.000 1
Nd1 0.500 0.500 0.000 1
N1 0.000 0.000 0.000 1
N2 0.338 0.338 0.000 1
N3 0.662 0.662 0.000 1